ScCd2BiO | SCAN | single point on PBEsol structure

```
data_ScCd2BiO
_symmetry_space_group_name_H-M 'P 4/m m m'
_symmetry_Int_Tables_number 123
_symmetry_space_group_name_Hall '-P 4 2'
_cell_length_a 5.529
_cell_length_b 5.529
_cell_length_c 5.568
_cell_angle_alpha 90.00
_cell_angle_beta 90.00
_cell_angle_gamma 90.00
loop_
_atom_site_label
_atom_site_fract_x
_atom_site_fract_y
_atom_site_fract_z
_atom_site_occupancy
Sc1 0.000 0.000 0.000 1
Cd1 0.000 0.500 0.500 1
Bi1 0.000 0.000 0.500 1
O1 0.500 0.500 0.000 1
```

Summary:
formation energy without anion corrections = 0.812 eV per atom
total magnetization = 0.07 μB per atom

Sr2PrO4 | SCAN | single point on PBEsol structure

```
data_Sr2PrO4
_symmetry_space_group_name_H-M 'P b a m'
_symmetry_Int_Tables_number 55
_cell_length_a 6.202
_cell_length_b 10.147
_cell_length_c 3.694
_cell_angle_alpha 90.00
_cell_angle_beta 90.00
_cell_angle_gamma 90.00
loop_
_symmetry_equiv_pos_as_xyz
'x,y,z'
'-x,-y,-z'
'-x,-y,z'
'x,y,-z'
'x+1/2,-y+1/2,-z'
'-x+1/2,y+1/2,z'
'-x+1/2,y+1/2,-z'
'x+1/2,-y+1/2,z'
loop_
_atom_site_label
_atom_site_fract_x
_atom_site_fract_y
_atom_site_fract_z
_atom_site_occupancy
Sr1 0.066 0.178 0.000 1
Pr1 0.000 0.500 0.500 1
O1 0.153 0.707 0.500 1
O2 0.236 0.455 0.000 1
```

Summary:
formation energy without anion corrections = -2.930 eV per atom
total magnetization = 0.14 μB per atom